! Li8N3O (PBE-GGA, relaxed); values from VASP
! **Space group**: Pm-3m (221)
! **Electronic total energy**: -4.269 eV/atom
! **Raw formation energy**: -499 meV per atom
! **Volume**: 9.3 Å³ per atom
&SYSTEM
  ibrav = 0, nat = 12, ntyp = 3
/
ATOMIC_SPECIES
Li 6.94 Li.upf
N 14.01 N.upf
O 16.00 O.upf
ATOMIC_POSITIONS crystal
Li 0.257 0.743 0.257
Li 0.743 0.257 0.257
Li 0.743 0.743 0.743
Li 0.257 0.257 0.743
Li 0.257 0.743 0.743
Li 0.743 0.257 0.743
Li 0.743 0.743 0.257
Li 0.257 0.257 0.257
N 0.000 0.500 0.000
N 0.500 0.000 0.000
N 0.000 0.000 0.500
O 0.500 0.500 0.500
CELL_PARAMETERS angstrom
-0.905 0.658 -4.684
3.404 -3.221 -1.111
-3.285 -3.520 0.140